YReNO: optimized geometry, PBE.

Calculated values
* symmetry: Pca2_1 (29)
* total magnetization: 0.000 μB per atom
* energy above the lowest structure with this stoichiometry: 0 meV/atom

Structure (POSCAR):
```
YReNO
1.0
5.501 0.000 0.000
0.000 8.587 0.000
0.000 0.000 4.771
Y Re N O
4 4 4 4
Cartesian
0.131 1.331 0.000
2.619 1.331 2.386
2.882 7.256 0.000
5.370 7.256 2.386
0.662 4.390 0.677
2.089 4.390 3.062
3.412 4.197 0.677
4.840 4.197 3.062
0.633 5.580 3.846
2.118 5.580 1.460
3.383 3.007 3.846
4.869 3.007 1.460
0.523 0.752 2.557
2.227 0.752 0.172
3.274 7.835 2.557
4.978 7.835 0.172
```